# K3Ho3BiO8

A relaxed structure of K3Ho3BiO8 (PBE, Alexandria).

Results
space group	R-3m (166)

```
K3Ho3BiO8
1.0
-1.5933 0.9194 -6.6710
3.1991 -5.7918 2.0276
-7.2283 0.7854 1.8335
O K Bi Ho
8 3 1 3
direct
0.2740 0.5479 0.3220 O
0.2254 0.9557 0.6810 O
0.7303 0.9557 0.6809 O
0.7260 0.4521 0.6780 O
0.2254 0.4508 0.6810 O
0.2697 0.0443 0.3191 O
0.7746 0.5492 0.3190 O
0.7746 0.0443 0.3190 O
0.0000 0.0000 0.0000 K
0.5000 0.5000 0.0000 K
0.0000 0.5000 0.0000 K
0.0000 0.0000 0.5000 Bi
0.0000 0.5000 0.5000 Ho
0.5000 0.0000 0.5000 Ho
0.5000 0.5000 0.5000 Ho
```

---

# K4Ho3BiO8

A relaxed structure of K4Ho3BiO8 (PBE, Alexandria).

Results
space group	R-3m (166)

```
K4Ho3BiO8
1.0
-6.4000 0.1508 -2.8457
0.1153 -7.4281 -0.6530
1.0772 2.7621 6.3475
Ho O K Bi
3 8 4 1
direct
0.5000 0.5000 0.0000 Ho
0.0000 0.5000 0.5000 Ho
0.5000 0.5000 0.5000 Ho
0.2367 0.6900 0.4734 O
0.7633 0.3100 0.5266 O
0.7166 0.6900 0.9533 O
0.7279 0.6837 0.4558 O
0.2367 0.6900 0.9533 O
0.2834 0.3100 0.0467 O
0.2721 0.3163 0.5442 O
0.7633 0.3100 0.0467 O
0.0000 0.0000 0.0000 K
0.5000 0.0000 0.0000 K
0.0000 0.0000 0.5000 K
0.5000 0.0000 0.5000 K
0.0000 0.5000 0.0000 Bi
```

---

# K3HoBi2O6

A relaxed structure of K3HoBi2O6 (PBE, Alexandria).

Results
space group	C2/m (12)

```
K3HoBi2O6
1.0
-4.1787 4.4549 -0.9698
0.1192 -4.9791 -3.6664
-2.6605 -2.7536 5.3931
K O Ho Bi
3 6 1 2
direct
0.8318 0.1682 0.5000 K
0.5000 0.5000 0.5000 K
0.1682 0.8318 0.5000 K
0.7475 0.7475 0.1955 O
0.2525 0.2525 0.8045 O
0.9346 0.6170 0.8042 O
0.6170 0.9346 0.8042 O
0.0654 0.3830 0.1958 O
0.3830 0.0654 0.1958 O
0.0000 0.0000 0.0000 Ho
0.6665 0.3335 0.0000 Bi
0.3335 0.6665 0.0000 Bi
```

---

# K2Ho2BiS6

A relaxed structure of K2Ho2BiS6 (PBE, Alexandria).

Results
space group	C2/m (12)

```
K2Ho2BiS6
1.0
-0.8976 -4.0995 -5.5124
-1.8710 -2.1811 6.3040
-6.0333 4.9808 -1.3056
S K Ho Bi
6 2 2 1
direct
0.9366 0.5989 0.3023 S
0.0634 0.4011 0.6977 S
0.2693 0.2693 0.3019 S
0.5989 0.9366 0.3023 S
0.7307 0.7307 0.6981 S
0.4011 0.0634 0.6977 S
0.8341 0.1659 0.0000 K
0.1659 0.8341 0.0000 K
0.3331 0.6669 0.5000 Ho
0.6669 0.3331 0.5000 Ho
0.0000 0.0000 0.5000 Bi
```

---

# K3Ho3BiS8

A relaxed structure of K3Ho3BiS8 (PBE, Alexandria).

Results
space group	R-3m (166)

```
K3Ho3BiS8
1.0
-4.1492 -5.5025 -4.0948
7.2018 -1.8284 3.0077
-6.6578 0.7635 5.7184
S K Bi Ho
8 3 1 3
direct
0.2340 0.4680 0.6998 S
0.2340 0.9660 0.6998 S
0.7660 0.5320 0.3002 S
0.2671 0.5343 0.3016 S
0.2680 0.0341 0.3003 S
0.7320 0.9659 0.6997 S
0.7329 0.4657 0.6984 S
0.7660 0.0340 0.3002 S
0.5000 0.5000 0.0000 K
0.0000 0.5000 0.0000 K
0.0000 0.0000 0.0000 K
0.0000 0.0000 0.5000 Bi
0.5000 0.5000 0.5000 Ho
0.5000 0.0000 0.5000 Ho
0.0000 0.5000 0.5000 Ho
```

---

# K2HoBiS4

A relaxed structure of K2HoBiS4 (PBE, Alexandria).

Results
space group	P2/m (10)

```
K2HoBiS4
1.0
-2.9090 -2.7437 0.8640
2.6146 -0.6950 6.5959
-5.2872 5.6547 0.1556
Bi K Ho S
1 2 1 4
direct
0.0000 0.0000 0.0000 Bi
0.0000 0.5000 0.5000 K
0.5000 0.0000 0.5000 K
0.5000 0.5000 0.0000 Ho
0.0000 0.7260 0.2025 S
0.5000 0.2452 0.2076 S
0.5000 0.7548 0.7924 S
0.0000 0.2740 0.7975 S
```

---

ΔE_f (raw) per entry: -2440, -2421, -1815, -1385, -1530, -1347 meV per atom
Fermi-level density of states per entry: 2.31, 0.00, 0.00, 4.34, 2.30, 0.00 states/eV/cell